Record 1
The following is a DFT calculation (PBE-GGA) of a geometry-optimized PuFeRe structure.

abc: 4.1497 4.1497 4.1497
angles: 60.00 60.00 60.00
With the nearest neighbours (Å) after each atom.
Element x y z (fractional)
Re1 0.2500 0.2500 0.2500  4 Fe 2.54
Pu1 0.7500 0.7500 0.7500  4 Fe 2.54
Fe1 0.0000 0.0000 0.0000  4 Pu 2.54, 4 Re 2.54

Calculated values
Its space group is No. 216. For the energy relative to the lowest polymorph listed for this composition, the calculation gives 0 meV/atom. The value obtained for the calculated volume is 16.84 Å³/atom. As for the calculated formation energy: 0.819 eV/atom.

Record 2
The following is a DFT calculation (PBE-GGA) of a geometry-optimized TcBMo2 structure.

abc: 4.2382 4.2382 4.2382
angles: 60.00 60.00 60.00
With the nearest neighbours (Å) after each atom.
Element x y z (fractional)
Mo1 0.0000 0.0000 0.0000  4 Tc 2.60, 4 Mo 2.60
Mo2 0.7500 0.7500 0.7500  4 B 2.60, 4 Mo 2.60
B1 0.5000 0.5000 0.5000  4 Tc 2.60, 4 Mo 2.60
Tc1 0.2500 0.2500 0.2500  4 B 2.60, 4 Mo 2.60

Calculated values
Its space group is No. 216. The value obtained for the calculated volume is 13.46 Å³/atom.

Number 1: uncorrected energy -0.7938 Ry per atom. Number 2: uncorrected energy -0.6794 Ry per atom.